Material: AlFeAs2O6
Method: DFT, GGA+U
State: relaxed

Cell lengths 8.067, 8.067, 5.117 Å; angles 99.65, 99.65, 66.07 degrees
Sites, in units of the cell vectors:
Al 0.222 0.778 0.750
Al 0.778 0.222 0.250
Fe 0.089 0.911 0.250
Fe 0.911 0.089 0.750
As 0.192 0.432 0.317
As 0.432 0.192 0.817
As 0.568 0.808 0.183
As 0.808 0.568 0.683
O 0.012 0.835 0.883
O 0.165 0.988 0.617
O 0.220 0.645 0.436
O 0.280 0.402 0.996
O 0.355 0.780 0.064
O 0.402 0.280 0.496
O 0.598 0.720 0.504
O 0.645 0.220 0.936
O 0.720 0.598 0.004
O 0.780 0.355 0.564
O 0.835 0.012 0.383
O 0.988 0.165 0.117

Calculated values
The density of states at the Fermi level is 0.000 states/eV/f.u. The symmetry is No. 15. The total DFT energy (no corrections) comes out at -64.240 eV per formula unit. Its crystal system is monoclinic. As for the volume: 298 Å³/cell.